<a>
This record from Alexandria via LeMat-Bulk describes a geometry-optimized TbNd2Hg2 structure. The functional is PBE.

Cell and atoms, written as POSCAR:
```
TbNd2Hg2
1.0
3.799 0.000 0.000
0.000 5.397 0.000
-1.894 0.000 14.068
Tb Nd Hg
2 4 4
Cartesian
0.006 1.349 4.114
1.899 4.048 9.954
0.005 4.048 1.265
-0.002 4.048 6.591
1.907 1.349 7.477
1.899 1.349 12.803
0.005 1.349 10.098
-0.001 4.048 12.536
1.905 1.349 1.531
1.899 4.048 3.970
```

**Symmetry**: No. 11
**Volume**: 288.4 Å³ per cell

***

<b>
This record from Alexandria via LeMat-Bulk describes a geometry-optimized TbNd2Hg2 structure. The functional is PBE.

Cell and atoms, written as POSCAR:
```
TbNd2Hg2
1.0
-2.430 3.555 4.267
2.430 -3.555 4.267
2.430 3.555 -4.267
Tb Nd Hg
1 2 2
Cartesian
0.000 0.000 0.000
2.430 0.000 2.617
0.000 3.555 1.650
2.430 2.001 0.000
0.000 1.554 4.267
```

**Symmetry**: No. 71
**Volume**: 147.5 Å³ per cell

***

Bottom line: <a>, by a margin of 4.0 kJ/mol of atoms.